AlSi2Ni: optimized geometry, GGA-PBE.

a b c (Å): 5.2884 4.6959 4.5900
angles (deg): 90.00 90.00 90.00
Last column: nearest neighbours and their distance in Å.
Atoms (fractional coordinates):
Al: 0.2500 0.0000 0.0338  6 Si 2.52-2.78, 2 Al 2.66, 2 Ni 2.71
Al: 0.7500 0.0000 0.9662  6 Si 2.52-2.78, 2 Al 2.66, 2 Ni 2.71
Si: 0.0000 0.0000 0.5000  4 Al 2.52-2.78, 2 Si 2.64, 4 Ni 2.81
Si: 0.2500 0.5000 0.8212  2 Ni 2.26-2.33
Si: 0.5000 0.0000 0.5000  4 Al 2.52-2.78, 2 Si 2.64, 4 Ni 2.81
Si: 0.7500 0.5000 0.1788  2 Ni 2.26-2.33
Ni: 0.2500 0.5000 0.3296  2 Si 2.26-2.33
Ni: 0.7500 0.5000 0.6704  2 Si 2.26-2.33

- space group = No. 51
- spin magnetization (μB/cell) = 0.00
- E_form (uncorrected) (eV/atom) = 0.112

Tm2TiTe: optimized geometry, GGA-PBE.

a b c (Å): 10.3585 10.3585 10.3585
angles (deg): 20.16 20.16 20.16
Last column: nearest neighbours and their distance in Å.
Atoms (fractional coordinates):
Tm: 0.0961 0.0961 0.0961  1 Ti 2.93, 3 Te 3.00
Tm: 0.9039 0.9039 0.9039  1 Ti 2.93, 3 Te 3.00
Ti: 0.0000 0.0000 0.0000  2 Tm 2.93
Te: 0.5000 0.5000 0.5000  6 Tm 3.00

- space group = No. 166
- spin magnetization (μB/cell) = 1.81
- E_form (uncorrected) (eV/atom) = 0.142

ZnGa3Ni3: optimized geometry, GGA-PBE.

a b c (Å): 5.0041 5.0041 5.0041
angles (deg): 109.70 109.70 109.70
Last column: nearest neighbours and their distance in Å.
Atoms (fractional coordinates):
Zn: 0.0000 0.0000 0.0000  6 Ni 2.50
Ga: 0.0010 0.5008 0.5008  6 Ni 2.47-2.50
Ga: 0.5008 0.0010 0.5008  6 Ni 2.47-2.50
Ga: 0.5008 0.5008 0.0010  6 Ni 2.47-2.50
Ni: 0.0011 0.0011 0.5009  6 Ga 2.47-2.50, 2 Zn 2.50
Ni: 0.0011 0.5009 0.0011  6 Ga 2.47-2.50, 2 Zn 2.50
Ni: 0.5009 0.0011 0.0011  6 Ga 2.47-2.50, 2 Zn 2.50

- polymorph energy (0 for the lowest one) (kcal/mol of atoms) = 1.44
- space group = No. 160
- spin magnetization (μB/cell) = 0.00
- E_form (kcal/mol of atoms) = -7.10

CoTc2Bi: optimized geometry, GGA-PBE.

a b c (Å): 7.1244 7.1244 7.1244
angles (deg): 134.79 134.79 65.85
Last column: nearest neighbours and their distance in Å.
Atoms (fractional coordinates):
Co: 0.0000 0.0000 0.0000  4 Tc 2.23
Co: 0.7500 0.2500 0.5000  4 Tc 2.23
Tc: 0.0432 0.6250 0.9182  2 Co 2.23
Tc: 0.3750 0.2932 0.4182  2 Co 2.23
Tc: 0.7068 0.1250 0.0818  2 Co 2.23
Tc: 0.8750 0.9568 0.5818  2 Co 2.23
Bi: 0.2500 0.7500 0.5000  4 Tc 2.72
Bi: 0.5000 0.5000 0.0000  4 Tc 2.72

- space group = No. 122
- spin magnetization (μB/cell) = 0.00
- E_form (kcal/mol of atoms) = 28.40

TbPrYZn: optimized geometry, GGA-PBE.

a b c (Å): 3.6079 3.6079 8.7931
angles (deg): 90.00 90.00 90.00
Last column: nearest neighbours and their distance in Å.
Atoms (fractional coordinates):
Tb: 0.0000 0.0000 0.0000  4 Zn 3.11
Pr: 0.5000 0.5000 0.7025  4 Pr 3.61, 4 Tb 3.65, 4 Y 3.67
Y: 0.0000 0.0000 0.4021  4 Zn 3.10
Zn: 0.5000 0.5000 0.2019  4 Y 3.10, 4 Tb 3.11

- polymorph energy (0 for the lowest one) (kcal/mol of atoms) = 0.00
- space group = No. 99
- spin magnetization (μB/cell) = 0.00
- E_form (kcal/mol of atoms) = -3.84

SrLi2Al2: optimized geometry, GGA-PBE.

a b c (Å): 8.3683 8.3683 3.2204
angles (deg): 90.00 90.00 90.00
Last column: nearest neighbours and their distance in Å.
Atoms (fractional coordinates):
Sr: 0.0000 0.0000 0.0000  2 Sr 3.22, 4 Al 3.36, 8 Li 3.49
Sr: 0.5000 0.5000 0.0000  2 Sr 3.22, 4 Al 3.36, 8 Li 3.49
Li: 0.1738 0.3262 0.5000  6 Al 2.94-2.98, 2 Li 3.22
Li: 0.3262 0.8262 0.5000  6 Al 2.94-2.98, 2 Li 3.22
Li: 0.6738 0.1738 0.5000  6 Al 2.94-2.98, 2 Li 3.22
Li: 0.8262 0.6738 0.5000  6 Al 2.94-2.98, 2 Li 3.22
Al: 0.1146 0.6146 0.0000  1 Al 2.71, 6 Li 2.94-2.98
Al: 0.3854 0.1146 0.0000  1 Al 2.71, 6 Li 2.94-2.98
Al: 0.6146 0.8854 0.0000  1 Al 2.71, 6 Li 2.94-2.98
Al: 0.8854 0.3854 0.0000  1 Al 2.71, 6 Li 2.94-2.98

- polymorph energy (0 for the lowest one) (kcal/mol of atoms) = 2.18
- space group = No. 127
- spin magnetization (μB/cell) = 0.00
- E_form (kcal/mol of atoms) = 0.40

Pm3Nd6Sm2Pb: optimized geometry, GGA-PBE.

a b c (Å): 6.2844 6.2844 12.0283
angles (deg): 95.06 95.06 120.15
Last column: nearest neighbours and their distance in Å.
Atoms (fractional coordinates):
Pm: 0.0000 0.0000 0.0000  6 Pm 3.60-3.64, 6 Nd 3.64-3.67
Pm: 0.3305 0.6695 0.0000  6 Pm 3.59-3.69, 6 Nd 3.63-3.67
Pm: 0.6695 0.3305 0.0000  6 Pm 3.59-3.69, 6 Nd 3.63-3.67
Nd: 0.0927 0.4172 0.2535  6 Nd 3.53-3.68, 1 Pb 3.56, 2 Sm 3.61, 3 Pm 3.64-3.67
Nd: 0.2586 0.2586 0.7488  6 Nd 3.53-3.68, 1 Pb 3.58, 2 Sm 3.62, 3 Pm 3.63-3.67
Nd: 0.4172 0.0927 0.2535  6 Nd 3.53-3.68, 1 Pb 3.56, 2 Sm 3.61, 3 Pm 3.64-3.67
Nd: 0.5828 0.9073 0.7465  6 Nd 3.53-3.68, 1 Pb 3.56, 2 Sm 3.61, 3 Pm 3.64-3.67
Nd: 0.7414 0.7414 0.2512  6 Nd 3.53-3.68, 1 Pb 3.58, 2 Sm 3.62, 3 Pm 3.63-3.67
Nd: 0.9073 0.5828 0.7465  6 Nd 3.53-3.68, 1 Pb 3.56, 2 Sm 3.61, 3 Pm 3.64-3.67
Sm: 0.1656 0.8344 0.5000  3 Sm 3.61-3.63, 6 Nd 3.61-3.62, 3 Pb 3.62-3.64
Sm: 0.8344 0.1656 0.5000  3 Sm 3.61-3.63, 6 Nd 3.61-3.62, 3 Pb 3.62-3.64
Pb: 0.5000 0.5000 0.5000  6 Nd 3.56-3.58, 6 Sm 3.62-3.64

- space group = No. 12
- spin magnetization (μB/cell) = 0.00
- E_form (kcal/mol of atoms) = -1.29

NdAsP: optimized geometry, GGA-PBE.

a b c (Å): 5.3899 5.3899 8.1829
angles (deg): 117.15 117.15 48.29
Last column: nearest neighbours and their distance in Å.
Atoms (fractional coordinates):
Nd: 0.0865 0.0865 0.2710  4 P 2.89-3.05, 2 As 3.13
Nd: 0.9135 0.9135 0.7290  4 P 2.89-3.05, 2 As 3.13
As: 0.3668 0.3668 0.9930  1 P 2.31, 1 As 2.57
As: 0.6332 0.6332 0.0070  1 P 2.31, 1 As 2.57
P: 0.1963 0.1963 0.6707  1 As 2.31
P: 0.8037 0.8037 0.3293  1 As 2.31

- space group = No. 12
- spin magnetization (μB/cell) = 0.00
- E_form (kcal/mol of atoms) = -17.96

What is the spin magnetization in the first record? 0.00 μB/cell

Please write out number 4 again, unchanged.
CoTc2Bi: optimized geometry, GGA-PBE.

a b c (Å): 7.1244 7.1244 7.1244
angles (deg): 134.79 134.79 65.85
Last column: nearest neighbours and their distance in Å.
Atoms (fractional coordinates):
Co: 0.0000 0.0000 0.0000  4 Tc 2.23
Co: 0.7500 0.2500 0.5000  4 Tc 2.23
Tc: 0.0432 0.6250 0.9182  2 Co 2.23
Tc: 0.3750 0.2932 0.4182  2 Co 2.23
Tc: 0.7068 0.1250 0.0818  2 Co 2.23
Tc: 0.8750 0.9568 0.5818  2 Co 2.23
Bi: 0.2500 0.7500 0.5000  4 Tc 2.72
Bi: 0.5000 0.5000 0.0000  4 Tc 2.72

- space group = No. 122
- spin magnetization (μB/cell) = 0.00
- E_form (kcal/mol of atoms) = 28.40